1.
VASP calculation (PBE-GGA) on a geometry-optimized Nd2Zn3InAg4 structure.

Unit cell a=4.2401 b=4.2401 c=12.0093 alpha=90.00 beta=90.00 gamma=90.00
Sites, in units of the cell vectors:
Nd1 0.0000 0.5000 0.2404
Nd2 0.5000 0.0000 0.7596
Zn1 0.0000 0.5000 0.8646
Zn2 0.5000 0.0000 0.1354
Zn3 0.5000 0.5000 0.5000
In1 0.0000 0.0000 0.5000
Ag1 0.0000 0.0000 0.0000
Ag2 0.0000 0.5000 0.6505
Ag3 0.5000 0.0000 0.3495
Ag4 0.5000 0.5000 0.0000

Values from the calculation:
Volume (Å³ per atom): 21.59
Energy relative to the elements (eV/atom): -0.23
Spin magnetization (μB per atom): 0.000
Fermi-level density of states (states/eV per cell): 5.889

---

2.
VASP calculation (PBE-GGA) on a geometry-optimized InNiAg2 structure.

Unit cell a=2.9949 b=4.0534 c=5.6973 alpha=90.00 beta=90.00 gamma=90.00
Sites, in units of the cell vectors:
In1 0.0000 0.0000 0.0000
Ni1 0.0000 0.0000 0.5000
Ag1 0.5000 0.5000 0.2649
Ag2 0.5000 0.5000 0.7351

Values from the calculation:
Volume (Å³ per atom): 17.29
Energy relative to the elements (eV/atom): 0.15
Spin magnetization (μB per atom): 0.000
Fermi-level density of states (states/eV per cell): 2.543

---

3.
VASP calculation (PBE-GGA) on a geometry-optimized InNiAg2 structure.

Unit cell a=5.1556 b=5.1556 c=5.1556 alpha=134.75 beta=134.75 gamma=65.92
Sites, in units of the cell vectors:
In1 0.0000 0.0000 0.0000
Ni1 0.5000 0.5000 0.0000
Ag1 0.2500 0.7500 0.5000
Ag2 0.7500 0.2500 0.5000

Values from the calculation:
Volume (Å³ per atom): 17.02
Energy relative to the elements (eV/atom): 0.07
Spin magnetization (μB per atom): 0.000
Fermi-level density of states (states/eV per cell): 2.639

---

4.
VASP calculation (PBE-GGA) on a geometry-optimized InNiAg2 structure.

Unit cell a=4.8307 b=4.8307 c=4.8307 alpha=128.07 beta=128.07 gamma=76.51
Sites, in units of the cell vectors:
In1 0.0000 0.0000 0.0000
Ni1 0.2500 0.7500 0.5000
Ag1 0.5000 0.5000 0.0000
Ag2 0.7500 0.2500 0.5000

Values from the calculation:
Volume (Å³ per atom): 16.97
Energy relative to the elements (eV/atom): 0.06
Spin magnetization (μB per atom): 0.000
Fermi-level density of states (states/eV per cell): 2.377